(1)
This record from Alexandria via LeMat-Bulk describes a relaxed structure of Li2Ga3Ag. The functional is PBE-GGA.

Output
**Spin magnetization**: 0.00 μB/f.u.
**Symmetry**: Fmmm (69)
**Energy relative to the elements**: -0.244 eV/atom

Cell lengths 8.967, 8.293, 5.348 Å; angles 78.98, 65.19, 35.83 degrees
Fractional positions:
Li: 0.250 0.250 0.250
Li: 0.250 0.750 0.750
Li: 0.750 0.250 0.250
Li: 0.750 0.750 0.750
Ga: 0.164 0.670 0.330
Ga: 0.165 0.165 0.835
Ga: 0.330 0.836 0.164
Ga: 0.670 0.164 0.836
Ga: 0.835 0.835 0.165
Ga: 0.836 0.330 0.670
Ag: 0.333 0.333 0.667
Ag: 0.667 0.667 0.333

(2)
This record from Alexandria via LeMat-Bulk describes a relaxed structure of BeSnAu2. The functional is PBE-GGA.

Output
**Spin magnetization**: 0.00 μB/f.u.
**Symmetry**: I-42d (122)
**Energy relative to the elements**: 0.119 eV/atom

Cell lengths 8.199, 8.199, 8.199 Å; angles 145.82, 145.82, 49.12 degrees
Fractional positions:
Be: 0.000 0.000 0.000
Be: 0.750 0.250 0.500
Sn: 0.250 0.750 0.500
Sn: 0.500 0.500 0.000
Au: 0.038 0.625 0.913
Au: 0.375 0.288 0.413
Au: 0.712 0.125 0.087
Au: 0.875 0.962 0.587

(3)
This record from Alexandria via LeMat-Bulk describes a relaxed structure of BaTaSe4. The functional is PBE-GGA.

Output
**Spin magnetization**: 3.53 μB/f.u.
**Symmetry**: F-43m (216)
**E_form (uncorrected)**: 0.4676 eV per atom

Cell lengths 5.957, 5.957, 5.957 Å; angles 60.00, 60.00, 60.00 degrees
Fractional positions:
Ba: 0.000 0.000 0.000
Ta: 0.250 0.250 0.250
Se: 0.131 0.623 0.623
Se: 0.623 0.131 0.623
Se: 0.623 0.623 0.131
Se: 0.623 0.623 0.623

(4)
This record from Alexandria via LeMat-Bulk describes a relaxed structure of Tb2Pr2Sb5. The functional is PBE-GGA.

Output
**Spin magnetization**: 0.00 μB/f.u.
**Symmetry**: Cmce (64)
**E_form (uncorrected)**: -0.8939 eV per atom

Cell lengths 8.959, 8.959, 8.385 Å; angles 90.00, 90.00, 54.40 degrees
Fractional positions:
Tb: 0.190 0.190 0.000
Tb: 0.310 0.310 0.500
Tb: 0.690 0.690 0.500
Tb: 0.810 0.810 0.000
Pr: 0.159 0.841 0.662
Pr: 0.341 0.659 0.162
Pr: 0.659 0.341 0.838
Pr: 0.841 0.159 0.338
Sb: 0.000 0.000 0.000
Sb: 0.001 0.710 0.355
Sb: 0.210 0.501 0.855
Sb: 0.290 0.999 0.355
Sb: 0.499 0.790 0.855
Sb: 0.500 0.500 0.500
Sb: 0.501 0.210 0.145
Sb: 0.710 0.001 0.645
Sb: 0.790 0.499 0.145
Sb: 0.999 0.290 0.645

(5)
This record from Alexandria via LeMat-Bulk describes a relaxed structure of TiMnPt2Rh. The functional is PBE-GGA.

Output
**Spin magnetization**: 2.74 μB/f.u.
**Symmetry**: P4/mmm (123)
**Energy relative to the elements**: 0.675 eV/atom

Cell lengths 4.627, 4.627, 4.327 Å; angles 90.00, 90.00, 90.00 degrees
Fractional positions:
Ti: 0.000 0.000 0.000
Mn: 0.500 0.500 0.500
Pt: 0.000 0.500 0.500
Pt: 0.500 0.000 0.500
Rh: 0.500 0.500 0.000

(6)
This record from Alexandria via LeMat-Bulk describes a relaxed structure of KCdGa. The functional is PBE-GGA.

Output
**Spin magnetization**: 0.00 μB/f.u.
**Symmetry**: P-1 (2)
**Energy relative to the elements**: -0.068 eV/atom

Cell lengths 4.596, 6.870, 7.057 Å; angles 66.00, 71.00, 89.88 degrees
Fractional positions:
K: 0.111 0.291 0.280
K: 0.889 0.709 0.720
Cd: 0.404 0.301 0.694
Cd: 0.596 0.699 0.306
Ga: 0.229 0.882 0.041
Ga: 0.771 0.118 0.959

(7)
This record from Alexandria via LeMat-Bulk describes a relaxed structure of AcHoSn3. The functional is PBE-GGA.

Output
**Spin magnetization**: 0.00 μB/f.u.
**Symmetry**: C2/c (15)
**Energy relative to the elements**: -0.457 eV/atom

Cell lengths 10.248, 10.248, 6.493 Å; angles 90.47, 90.47, 114.04 degrees
Fractional positions:
Ac: 0.095 0.242 0.435
Ac: 0.242 0.095 0.935
Ac: 0.758 0.905 0.065
Ac: 0.905 0.758 0.565
Ho: 0.270 0.730 0.750
Ho: 0.421 0.579 0.250
Ho: 0.579 0.421 0.750
Ho: 0.730 0.270 0.250
Sn: 0.028 0.757 0.061
Sn: 0.105 0.567 0.324
Sn: 0.243 0.972 0.439
Sn: 0.281 0.437 0.841
Sn: 0.433 0.895 0.176
Sn: 0.437 0.281 0.341
Sn: 0.563 0.719 0.659
Sn: 0.567 0.105 0.824
Sn: 0.719 0.563 0.159
Sn: 0.757 0.028 0.561
Sn: 0.895 0.433 0.676
Sn: 0.972 0.243 0.939

(8)
This record from Alexandria via LeMat-Bulk describes a relaxed structure of NdY6HoTm2. The functional is PBE-GGA.

Output
**Spin magnetization**: 0.00 μB/f.u.
**Symmetry**: C2/c (15)
**Energy relative to the elements**: 0.122 eV/atom

Cell lengths 8.745, 8.745, 9.644 Å; angles 94.42, 94.42, 116.94 degrees
Fractional positions:
Nd: 0.094 0.906 0.750
Nd: 0.906 0.094 0.250
Y: 0.006 0.795 0.381
Y: 0.072 0.522 0.182
Y: 0.205 0.994 0.119
Y: 0.254 0.618 0.556
Y: 0.382 0.746 0.944
Y: 0.478 0.928 0.318
Y: 0.522 0.072 0.682
Y: 0.618 0.254 0.056
Y: 0.746 0.382 0.444
Y: 0.795 0.006 0.881
Y: 0.928 0.478 0.818
Y: 0.994 0.205 0.619
Ho: 0.475 0.525 0.250
Ho: 0.525 0.475 0.750
Tm: 0.207 0.307 0.953
Tm: 0.307 0.207 0.453
Tm: 0.693 0.793 0.547
Tm: 0.793 0.693 0.047

(9)
This record from Alexandria via LeMat-Bulk describes a relaxed structure of RbCo2Se2. The functional is PBE-GGA.

Output
**Spin magnetization**: 2.08 μB/f.u.
**Symmetry**: I4/mmm (139)
**E_form (uncorrected)**: -0.4747 eV per atom

Cell lengths 7.483, 7.483, 7.483 Å; angles 149.71, 149.71, 43.36 degrees
Fractional positions:
Rb: 0.000 0.000 0.000
Co: 0.250 0.750 0.500
Co: 0.750 0.250 0.500
Se: 0.344 0.344 0.000
Se: 0.656 0.656 0.000

(10)
This record from Alexandria via LeMat-Bulk describes a relaxed structure of TcBiSb2. The functional is PBE-GGA.

Output
**Spin magnetization**: 0.00 μB/f.u.
**Symmetry**: I-42d (122)
**E_form (uncorrected)**: 0.4756 eV per atom

Cell lengths 7.803, 7.803, 7.803 Å; angles 130.48, 130.48, 72.64 degrees
Fractional positions:
Tc: 0.000 0.000 0.000
Tc: 0.750 0.250 0.500
Bi: 0.250 0.750 0.500
Bi: 0.500 0.500 0.000
Sb: 0.060 0.625 0.935
Sb: 0.375 0.310 0.435
Sb: 0.690 0.125 0.065
Sb: 0.875 0.940 0.565

(11)
This record from Alexandria via LeMat-Bulk describes a relaxed structure of TlAg2SbTe4. The functional is PBE-GGA.

Output
**Spin magnetization**: 0.00 μB/f.u.
**Symmetry**: I222 (23)
**E_form (uncorrected)**: -0.0383 eV per atom

Cell lengths 7.116, 7.116, 7.116 Å; angles 115.57, 110.98, 102.14 degrees
Fractional positions:
Tl: 0.000 0.000 0.000
Ag: 0.327 0.827 0.500
Ag: 0.673 0.173 0.500
Sb: 0.500 0.500 0.000
Te: 0.121 0.113 0.580
Te: 0.467 0.887 0.008
Te: 0.533 0.541 0.420
Te: 0.879 0.459 0.992

(12)
This record from Alexandria via LeMat-Bulk describes a relaxed structure of MnCuSi2Br. The functional is PBE-GGA.

Output
**Spin magnetization**: 4.59 μB/f.u.
**Symmetry**: P4/mmm (123)
**E_form (uncorrected)**: 0.8049 eV per atom

Cell lengths 4.367, 4.367, 5.861 Å; angles 90.00, 90.00, 90.00 degrees
Fractional positions:
Mn: 0.000 0.000 0.000
Cu: 0.500 0.500 0.500
Si: 0.000 0.500 0.500
Si: 0.500 0.000 0.500
Br: 0.500 0.500 0.000